1.
Compound: Li2NbFe3O8
Source: Alexandria
Functional: SCAN
Structure: single point on PBEsol structure

extended XYZ file:
```
14
Lattice="2.877 1.661 4.670 -2.877 1.661 4.670 0.000 -3.322 4.670" Properties=species:S:1:pos:R:3 pbc="T T T"
Li 0.000 0.000 1.738
Li 0.000 0.000 12.272
Nb 0.000 0.000 7.005
Fe -1.438 -0.830 4.670
Fe -1.438 0.830 9.340
Fe 0.000 1.661 4.670
O 0.000 -1.565 5.727
O -1.355 0.782 5.727
O 0.000 0.000 3.718
O -1.355 -0.782 8.284
O 1.355 0.782 5.727
O 0.000 0.000 10.292
O 1.355 -0.782 8.284
O 0.000 1.565 8.284
```

## Properties
Crystal system   trigonal
Excess energy over the best structure of this formula in the dataset   0 meV/atom
Formation energy from raw total energies   -2004.5 meV per atom
Energy   -12.158 eV per atom


2.
Compound: Li6NbFe5O12
Source: Alexandria
Functional: SCAN
Structure: single point on PBEsol structure

extended XYZ file:
```
24
Lattice="2.393 -4.145 0.000 2.393 4.145 0.000 -1.589 0.000 9.885" Properties=species:S:1:pos:R:3 pbc="T T T"
Li -0.022 0.000 2.444
Li 0.791 1.405 7.441
Li 2.408 1.405 2.444
Li 0.791 -1.405 7.441
Li 2.408 -1.405 2.444
Li 3.220 0.000 7.441
Nb 1.599 0.000 4.943
Fe 0.000 0.000 0.000
Fe 1.599 2.768 4.943
Fe 2.393 1.367 0.000
Fe 2.393 -1.367 0.000
Fe 1.599 -2.768 4.943
O 1.598 2.759 1.068
O 0.751 1.467 3.741
O -0.089 0.000 6.147
O 1.600 2.759 8.817
O 1.589 0.000 1.103
O 0.751 -1.467 3.741
O 2.447 1.467 6.144
O 1.609 0.000 8.782
O 1.598 -2.759 1.068
O 3.287 0.000 3.738
O 2.447 -1.467 6.144
O 1.600 -2.759 8.817
```

## Properties
Crystal system   monoclinic
Formation energy from raw total energies   -1955.4 meV per atom
Energy   -10.826 eV per atom


3.
Compound: Li5Nb2Fe3O10
Source: Alexandria
Functional: SCAN
Structure: single point on PBEsol structure

extended XYZ file:
```
20
Lattice="5.164 0.000 0.000 0.913 5.104 0.000 2.558 2.054 6.996" Properties=species:S:1:pos:R:3 pbc="T T T"
Li 0.000 0.000 0.000
Li 1.608 3.256 2.017
Li 4.202 4.426 6.343
Li 4.433 2.733 0.653
Li 7.027 3.903 4.979
Nb 2.560 0.473 1.495
Nb 6.075 6.686 5.502
Fe 2.494 1.212 4.063
Fe 4.317 3.579 3.498
Fe 6.140 5.946 2.933
O 0.955 1.563 1.107
O 2.559 4.644 3.115
O 3.493 2.743 5.240
O 2.699 4.049 0.317
O 3.518 2.024 2.411
O 5.116 5.135 4.585
O 5.935 3.110 6.679
O 5.142 4.415 1.756
O 6.076 2.515 3.881
O 7.680 5.596 5.889
```

## Properties
Crystal system   triclinic
Formation energy from raw total energies   -2158.3 meV per atom
Energy   -11.904 eV per atom


4.
Compound: Li8NbFe3O12
Source: Alexandria
Functional: SCAN
Structure: single point on PBEsol structure

extended XYZ file:
```
24
Lattice="4.878 0.000 0.000 0.017 5.701 0.000 0.000 1.123 7.194" Properties=species:S:1:pos:R:3 pbc="T T T"
Li 0.012 2.137 1.219
Li 0.030 4.129 2.251
Li 2.415 1.141 2.282
Li 2.431 1.805 6.059
Li 2.463 5.019 1.136
Li 2.479 5.683 4.913
Li 4.864 2.695 4.944
Li 4.882 4.688 5.975
Nb 2.447 3.412 3.597
Fe 0.000 0.000 0.000
Fe 0.000 0.562 3.597
Fe 2.447 2.851 0.000
O 0.704 0.879 5.460
O 0.859 2.340 3.079
O 0.993 3.813 0.515
O 1.476 0.978 0.521
O 1.598 5.164 3.076
O 1.718 3.724 5.457
O 3.176 3.101 1.737
O 3.297 1.661 4.119
O 3.418 5.847 6.674
O 3.902 3.012 6.679
O 4.036 4.484 4.115
O 4.191 5.946 1.734
```

## Properties
Crystal system   triclinic
Formation energy from raw total energies   -2055.6 meV per atom
Energy   -9.614 eV per atom


5.
Compound: Li4Nb3Fe3Sb2O16
Source: Alexandria
Functional: SCAN
Structure: single point on PBEsol structure

extended XYZ file:
```
28
Lattice="5.280 -3.016 0.000 5.280 3.016 0.000 -0.129 0.000 10.385" Properties=species:S:1:pos:R:3 pbc="T T T"
Li 0.000 0.000 0.000
Li -0.032 0.000 5.023
Li 3.454 0.000 4.044
Li 6.923 0.000 9.283
Nb 4.237 1.501 7.405
Nb 4.237 -1.501 7.405
Nb 8.683 0.000 2.340
Fe 1.661 0.000 7.301
Fe 6.078 1.396 2.185
Fe 6.078 -1.396 2.185
Sb 3.368 0.000 0.141
Sb 6.761 0.000 5.063
O 2.600 1.473 8.407
O 1.609 0.000 1.128
O 4.383 1.553 1.084
O 5.946 1.616 6.173
O 3.547 0.000 6.206
O 5.072 0.000 8.468
O 2.600 -1.473 8.407
O 5.378 0.000 3.532
O 7.820 1.377 3.399
O 4.383 -1.553 1.084
O 7.143 0.000 1.037
O 5.946 -1.616 6.173
O 8.934 0.000 6.215
O 7.820 -1.377 3.399
O 10.459 0.000 3.174
O 10.398 0.000 8.476
```

## Properties
Crystal system   monoclinic
Formation energy from raw total energies   -2075.7 meV per atom
Energy   -14.131 eV per atom


6.
Compound: Li4NbFeTe2O12
Source: Alexandria
Functional: SCAN
Structure: single point on PBEsol structure

extended XYZ file:
```
20
Lattice="5.100 0.000 0.000 0.012 5.409 0.000 0.013 0.575 7.414" Properties=species:S:1:pos:R:3 pbc="T T T"
Li 0.000 0.000 0.000
Li 0.026 0.475 4.000
Li 2.574 2.475 6.983
Li 2.601 2.855 3.906
Nb 2.582 5.093 1.756
Fe 0.033 2.812 5.427
Te 0.027 2.432 1.699
Te 2.571 5.385 5.440
O 0.667 2.749 7.318
O 0.951 0.743 2.153
O 1.030 4.365 4.884
O 1.597 1.577 4.967
O 1.649 3.396 2.189
O 1.932 5.562 7.269
O 3.253 5.203 3.585
O 3.447 3.708 5.802
O 3.583 1.325 1.179
O 4.114 1.012 5.839
O 4.226 4.061 1.194
O 4.492 2.460 3.491
```

## Properties
Crystal system   triclinic
Formation energy from raw total energies   -1883.9 meV per atom
Energy   -12.389 eV per atom


7.
Compound: Li4Ti2Nb3Fe3O16
Source: Alexandria
Functional: SCAN
Structure: single point on PBEsol structure

extended XYZ file:
```
28
Lattice="4.944 -2.937 0.000 4.944 2.937 0.000 -0.024 0.000 9.671" Properties=species:S:1:pos:R:3 pbc="T T T"
Li 0.000 0.000 0.000
Li 2.265 0.000 8.834
Li 5.418 0.000 4.231
Li 8.846 0.000 5.126
Ti 2.148 0.000 5.230
Ti 5.224 0.000 0.241
Nb 2.792 1.412 2.377
Nb 2.792 -1.412 2.377
Nb 6.935 0.000 7.323
Fe 0.744 0.000 2.569
Fe 4.711 1.410 7.216
Fe 4.711 -1.410 7.216
O 0.568 0.000 6.234
O 3.040 1.463 6.159
O 2.037 0.000 1.069
O 4.499 1.416 1.162
O 3.673 0.000 3.577
O 6.392 1.584 3.866
O 6.147 1.374 8.536
O 4.038 0.000 8.304
O 5.372 0.000 6.084
O 3.040 -1.463 6.159
O 4.499 -1.416 1.162
O 6.892 0.000 1.306
O 6.147 -1.374 8.536
O 8.760 0.000 3.290
O 8.843 0.000 8.101
O 6.392 -1.584 3.866
```

## Properties
Crystal system   monoclinic
Formation energy from raw total energies   -2431.3 meV per atom
Energy   -12.970 eV per atom


8.
Compound: Li4Nb3V3Fe2O16
Source: Alexandria
Functional: SCAN
Structure: single point on PBEsol structure

extended XYZ file:
```
28
Lattice="5.079 -2.910 0.000 5.079 2.910 0.000 -0.209 0.000 9.830" Properties=species:S:1:pos:R:3 pbc="T T T"
Li 0.000 0.000 0.000
Li -0.074 0.000 4.997
Li 3.595 0.000 4.018
Li 6.816 0.000 8.862
Nb 1.789 0.000 7.125
Nb 6.167 1.431 2.205
Nb 6.167 -1.431 2.205
V 4.231 1.350 7.119
V 4.231 -1.350 7.119
V 8.517 0.000 2.212
Fe 3.623 0.000 0.012
Fe 6.856 0.000 5.033
O 0.076 0.000 3.221
O -0.019 0.000 8.056
O 2.696 1.330 8.343
O 4.396 1.503 1.134
O 1.835 0.000 0.978
O 5.901 1.473 6.021
O 3.452 0.000 5.921
O 4.961 0.000 8.270
O 2.696 -1.330 8.343
O 7.744 1.332 3.429
O 5.432 0.000 3.491
O 6.964 0.000 0.948
O 4.396 -1.503 1.134
O 5.901 -1.473 6.021
O 8.551 0.000 6.111
O 7.744 -1.332 3.429
```

## Properties
Crystal system   monoclinic
Formation energy from raw total energies   -2392.1 meV per atom
Energy   -13.012 eV per atom


9.
Compound: LiFe2Ni
Source: Alexandria
Functional: SCAN
Structure: single point on PBEsol structure

extended XYZ file:
```
4
Lattice="2.424 0.000 0.000 0.000 3.614 0.000 0.000 0.000 5.006" Properties=species:S:1:pos:R:3 pbc="T T T"
Li 0.000 0.000 0.000
Fe 0.000 0.000 2.445
Fe 1.212 1.807 3.720
Ni 1.212 1.807 1.224
```

## Properties
Crystal system   orthorhombic
Energy   -13.603 eV per atom
Energy of formation   103 meV/atom


10.
Compound: LiFe2Ni2
Source: Alexandria
Functional: SCAN
Structure: single point on PBEsol structure

extended XYZ file:
```
5
Lattice="-1.720 1.720 5.447 1.720 -1.720 5.447 1.720 1.720 -5.447" Properties=species:S:1:pos:R:3 pbc="T T T"
Li 0.000 0.000 0.000
Fe 0.000 0.000 4.299
Fe 0.000 0.000 6.594
Ni 1.720 0.000 2.723
Ni 0.000 1.720 2.723
```

## Properties
Crystal system   tetragonal
Energy   -13.857 eV per atom
Energy of formation   342 meV/atom


11.
Compound: Li4FeNi
Source: Alexandria
Functional: SCAN
Structure: single point on PBEsol structure

extended XYZ file:
```
6
Lattice="0.000 3.305 3.305 3.305 0.000 3.305 3.305 3.305 0.000" Properties=species:S:1:pos:R:3 pbc="T T T"
Li 0.822 0.822 0.822
Li 2.483 2.483 0.822
Li 2.483 0.822 2.483
Li 0.822 2.483 2.483
Fe 3.305 3.305 3.305
Ni 4.957 4.957 4.957
```

## Properties
Crystal system   cubic
Energy   -6.909 eV per atom
Energy of formation   401 meV/atom


12.
Compound: Li3FeNi2O6
Source: Alexandria
Functional: SCAN
Structure: single point on PBEsol structure

extended XYZ file:
```
12
Lattice="6.326 -1.398 0.000 6.326 1.398 0.000 -1.185 0.000 5.552" Properties=species:S:1:pos:R:3 pbc="T T T"
Li 0.000 0.000 0.000
Li 3.420 0.000 3.735
Li 8.048 0.000 1.817
Fe -0.592 0.000 2.776
Ni 4.033 0.000 0.917
Ni 7.435 0.000 4.635
O 1.238 0.000 3.304
O 2.062 0.000 0.371
O 6.007 0.000 1.527
O 5.461 0.000 4.025
O 9.405 0.000 5.181
O 10.229 0.000 2.248
```

## Properties
Crystal system   monoclinic
Formation energy from raw total energies   -1742.6 meV per atom
Energy   -9.662 eV per atom